The following is a GGA-PBE calculation of a relaxed TiAsW3 crystal, from Alexandria via LeMat-Bulk.

Summary:
Crystal system   cubic
Total magnetic moment   0.0 μB per formula unit
E_form   1997.2 meV/atom
Mass density   11.296 Mg/m³
Density of states at the Fermi level   1.1200 states/eV/atom
Electronic total energy   -8.28 eV/atom

abc: 4.6280 4.6280 4.6280
angles: 90.00 90.00 90.00
Closest atoms and distances in Å follow each position.
Sites, in units of the cell vectors:
W (0.0000, 0.0000, 0.5000)  2 Ti 2.31
W (0.5000, 0.0000, 0.0000)  2 Ti 2.31
W (0.0000, 0.5000, 0.0000)  2 Ti 2.31
Ti (0.0000, 0.0000, 0.0000)  6 W 2.31
As (0.5000, 0.5000, 0.5000)  12 W 3.27



The following is a GGA-PBE calculation of a relaxed Zr2TiAsW crystal, from Alexandria via LeMat-Bulk.

Summary:
Crystal system   tetragonal
Total magnetic moment   0.0 μB per formula unit
E_form   1035.0 meV/atom
Mass density   7.228 Mg/m³
Density of states at the Fermi level   1.4046 states/eV/atom
Electronic total energy   -7.48 eV/atom

abc: 5.0116 4.4736 5.0116
angles: 90.00 90.00 90.00
Closest atoms and distances in Å follow each position.
Sites, in units of the cell vectors:
As (0.5000, 0.5000, 0.5000)  8 Zr 3.36, 4 W 3.54
W (0.0000, 0.5000, 0.0000)  2 Ti 2.24
Zr (0.5000, 0.0000, 0.0000)  2 Ti 2.51
Ti (0.0000, 0.0000, 0.0000)  2 W 2.24
Zr (0.0000, 0.0000, 0.5000)  2 Ti 2.51